! Pa2AlPb, optimized geometry, DFT PBE; values from VASP
! E_form in eV/atom: 0.05
! Space group: P4/mmm
! E above lowest polymorph in meV per atom: 41
&SYSTEM
  ibrav = 0, nat = 4, ntyp = 3
/
ATOMIC_SPECIES
Pa 231.04 Pa.upf
Al 26.98 Al.upf
Pb 207.20 Pb.upf
ATOMIC_POSITIONS angstrom
Pa 0.000 2.271 0.000
Pa 2.271 0.000 0.000
Al 0.000 0.000 2.353
Pb 2.271 2.271 2.353
CELL_PARAMETERS angstrom
4.541 0.000 0.000
0.000 4.541 0.000
0.000 0.000 4.705